Record 1
Entry from Alexandria via LeMat-Bulk: an optimized crystal structure of LaPr5Y2 (PBE).

Computed properties:
For the formation energy, the calculation gives 30 meV/atom. The total energy is -5.189 eV per atom. As for the space-group type: Immm (71). The value obtained for the excess energy over the best structure of this formula in the dataset is 22.6 meV/atom.

Cell: 3.638 11.509 9.099 Å, 129.23 101.53 90.00°
Fractional coordinates of all 8 atoms:
Pr (0.368, 0.137, 0.736)
Y (0.743, 0.243, 0.487)
La (0.000, 0.000, 0.000)
Pr (0.632, 0.863, 0.264)
Pr (0.000, 0.500, 0.000)
Pr (0.632, 0.401, 0.264)
Pr (0.368, 0.599, 0.736)
Y (0.257, 0.757, 0.513)

Record 2
Entry from Alexandria via LeMat-Bulk: an optimized crystal structure of Ce2MgAu (PBE).

Computed properties:
For the formation energy, the calculation gives -274 meV/atom. The total energy is -4.459 eV per atom. As for the space-group type: P4/mmm (123). The value obtained for the excess energy over the best structure of this formula in the dataset is 18.1 meV/atom.

Cell: 3.966 3.966 6.641 Å, 90.00 90.00 90.00°
Fractional coordinates of all 4 atoms:
Ce (0.000, 0.000, 0.216)
Au (0.500, 0.500, 0.000)
Ce (0.000, 0.000, 0.784)
Mg (0.500, 0.500, 0.500)

Record 3
Entry from Alexandria via LeMat-Bulk: an optimized crystal structure of La2Ni7 (PBE).

Computed properties:
For the formation energy, the calculation gives -316 meV/atom. The total energy is -5.907 eV per atom. As for the space-group type: P6_3/mmc (194).

Cell: 5.036 5.036 24.664 Å, 90.00 90.00 120.00°
Fractional coordinates of all 36 atoms:
Ni (0.000, 0.000, 0.831)
Ni (0.666, 0.833, 0.750)
Ni (0.334, 0.167, 0.250)
La (0.667, 0.333, 0.826)
La (0.667, 0.333, 0.969)
Ni (0.834, 0.166, 0.413)
Ni (0.668, 0.834, 0.913)
Ni (0.000, 0.000, 0.169)
La (0.333, 0.667, 0.469)
Ni (0.834, 0.166, 0.087)
La (0.667, 0.333, 0.674)
Ni (0.000, 0.000, 0.331)
Ni (0.333, 0.667, 0.668)
Ni (0.000, 0.000, 0.669)
Ni (0.166, 0.332, 0.587)
Ni (0.000, 0.000, 0.000)
Ni (0.332, 0.166, 0.087)
Ni (0.668, 0.834, 0.587)
Ni (0.667, 0.333, 0.332)
Ni (0.833, 0.666, 0.250)
Ni (0.167, 0.833, 0.750)
La (0.667, 0.333, 0.531)
La (0.333, 0.667, 0.031)
Ni (0.834, 0.668, 0.087)
Ni (0.000, 0.000, 0.500)
La (0.333, 0.667, 0.174)
Ni (0.332, 0.166, 0.413)
Ni (0.333, 0.667, 0.832)
Ni (0.834, 0.668, 0.413)
Ni (0.166, 0.834, 0.587)
Ni (0.166, 0.834, 0.913)
Ni (0.166, 0.332, 0.913)
Ni (0.167, 0.334, 0.750)
Ni (0.833, 0.167, 0.250)
Ni (0.667, 0.333, 0.168)
La (0.333, 0.667, 0.326)